(1)
Computed, not measured: a relaxed structure of HoZr2Nb at the GGA-PBE level of DFT.

a = 3.591 Å, b = 3.591 Å, c = 7.338 Å
α = 90.00°, β = 90.00°, γ = 90.00°
Atoms (fractional coordinates):
Ho  0.000  0.000  0.000
Zr  0.500  0.500  0.295
Zr  0.500  0.500  0.705
Nb  0.000  0.000  0.500

Results
Space-group type: P4/mmm, No. 123
Theoretical density in g/cm³: 7.73
Formation enthalpy at 0 K in meV per atom: 92.4
Total energy in eV/atom: -7.84

---

(2)
Computed, not measured: a relaxed structure of KSe2Cl at the GGA-PBE level of DFT.

a = 5.327 Å, b = 5.327 Å, c = 7.527 Å
α = 104.71°, β = 104.71°, γ = 45.55°
Atoms (fractional coordinates):
K  0.000  0.000  0.000
Se  0.030  0.030  0.504
Se  0.406  0.406  0.394
Cl  0.687  0.687  0.915

Results
Uncorrected formation energy in meV per atom: -744
Space-group type: Cm, No. 8
Theoretical density in g/cm³: 2.63
Total energy in eV/atom: -3.22

---

Question: Among the records above, which one has the highest theoretical density?
Answer: HoZr2Nb